5
Lattice="-4.2223 -1.2486 -0.6341 0.2468 -2.6461 3.5674 -1.3785 3.3508 2.5809" Properties=species:S:1:pos:R:3 comment="CoPPd3 PBE relaxed" spacegroup="Pm-3m (221)" formation_enthalpy_0k_ev_per_fu=1.339 magnetic_moment_mub_per_atom=0.462 relative_energy_ev_per_atom=0.000 pbc="T T T"
P 0.0000 0.0000 0.0000
Co -2.6770 -0.2720 2.7571
Pd 0.1234 -1.3231 1.7837
Pd -0.6893 1.6754 1.2904
Pd -2.1112 -0.6243 -0.3171

5
Lattice="4.4699 0.0000 0.0000 0.0000 5.6431 0.0000 0.0000 0.0000 4.4699" Properties=species:S:1:pos:R:3 comment="LaHfFeCo2 PBE relaxed" spacegroup="P4/mmm (123)" formation_enthalpy_0k_ev_per_fu=8.153 magnetic_moment_mub_per_atom=0.267 pbc="T T T"
Co 0.0000 0.0000 2.2349
Co 2.2349 0.0000 0.0000
Hf 0.0000 0.0000 0.0000
Fe 2.2349 2.8215 2.2349
La 0.0000 2.8215 0.0000